1.
VASP calculation (PBE) on a relaxed structure of RbH2Cl.

Calculated values
ΔE to the lowest computed polymorph	1134	meV per atom
space group	No. 225

a b c (Å): 4.8930 4.8930 4.8930
angles (deg): 60.00 60.00 60.00
Last column: nearest neighbours and their distance in Å.
Element x y z (fractional)
Rb: 0.0000 0.0000 0.0000  8 H 3.00
H: 0.2500 0.2500 0.2500  4 Cl 3.00, 4 Rb 3.00
H: 0.7500 0.7500 0.7500  4 Rb 3.00, 4 Cl 3.00
Cl: 0.5000 0.5000 0.5000  8 H 3.00



2.
VASP calculation (PBE) on a relaxed structure of VCoRuPt.

Calculated values
space group	No. 47
DFT total energy	-8.181	eV per atom

a b c (Å): 3.6483 3.7217 3.8846
angles (deg): 90.00 90.00 90.00
Last column: nearest neighbours and their distance in Å.
Element x y z (fractional)
V: 0.0000 0.0000 0.0000  4 Ru 2.61, 4 Pt 2.66, 4 Co 2.69
Co: 0.0000 0.5000 0.5000  4 Pt 2.61, 4 Ru 2.66, 4 V 2.69
Ru: 0.5000 0.5000 0.0000  4 V 2.61, 4 Co 2.66, 4 Pt 2.69
Pt: 0.5000 0.0000 0.5000  4 Co 2.61, 4 V 2.66, 4 Ru 2.69



3.
VASP calculation (PBE) on a relaxed structure of Ce2Th2P5.

Calculated values
space group	No. 64
DFT total energy	-7.315	eV per atom

a b c (Å): 8.1106 8.1106 7.6650
angles (deg): 90.00 90.00 56.25
Last column: nearest neighbours and their distance in Å.
Element x y z (fractional)
Ce: 0.1526 0.8474 0.8435  8 P 2.85-3.09
Ce: 0.3474 0.6526 0.3435  8 P 2.85-3.09
Ce: 0.6526 0.3474 0.6565  8 P 2.85-3.09
Ce: 0.8474 0.1526 0.1565  8 P 2.85-3.09
Th: 0.1971 0.1971 0.5000  7 P 2.82-3.04
Th: 0.3029 0.3029 0.0000  7 P 2.82-3.04
Th: 0.6971 0.6971 0.0000  7 P 2.82-3.04
Th: 0.8029 0.8029 0.5000  7 P 2.82-3.04
P: 0.0000 0.0000 0.5000  2 Th 2.82, 4 Ce 2.88-2.91
P: 0.0202 0.7045 0.1536  3 Ce 2.85-3.09, 3 Th 2.90-3.04
P: 0.2045 0.5202 0.6536  3 Ce 2.85-3.09, 3 Th 2.90-3.04
P: 0.2955 0.9798 0.1536  3 Ce 2.85-3.09, 3 Th 2.90-3.04
P: 0.4798 0.7955 0.6536  3 Ce 2.85-3.09, 3 Th 2.90-3.04
P: 0.5000 0.5000 0.0000  2 Th 2.82, 4 Ce 2.88-2.91
P: 0.5202 0.2045 0.3464  3 Ce 2.85-3.09, 3 Th 2.90-3.04
P: 0.7045 0.0202 0.8464  3 Ce 2.85-3.09, 3 Th 2.90-3.04
P: 0.7955 0.4798 0.3464  3 Ce 2.85-3.09, 3 Th 2.90-3.04
P: 0.9798 0.2955 0.8464  3 Ce 2.85-3.09, 3 Th 2.90-3.04



4.
VASP calculation (PBE) on a relaxed structure of Sb2Se2Br.

Calculated values
ΔE to the lowest computed polymorph	0	meV per atom
space group	No. 2
formation energy from raw total energies	-260	meV per atom

a b c (Å): 6.1289 7.0462 9.6004
angles (deg): 98.22 107.10 108.38
Last column: nearest neighbours and their distance in Å.
Element x y z (fractional)
Sb: 0.0789 0.1545 0.4177  1 Br 2.62, 1 Se 2.62
Sb: 0.1752 0.7855 0.0571  3 Se 2.58-2.70
Sb: 0.8248 0.2145 0.9429  3 Se 2.58-2.70
Sb: 0.9211 0.8455 0.5823  1 Br 2.62, 1 Se 2.62
Se: 0.1518 0.1211 0.8442  2 Sb 2.62-2.67
Se: 0.1851 0.4658 0.1815  2 Sb 2.58-2.70
Se: 0.8149 0.5342 0.8185  2 Sb 2.58-2.70
Se: 0.8482 0.8789 0.1558  2 Sb 2.62-2.67
Br: 0.3191 0.7693 0.6038  1 Sb 2.62
Br: 0.6809 0.2307 0.3962  1 Sb 2.62



5.
VASP calculation (PBE) on a relaxed structure of Ti4FeRh.

Calculated values
ΔE to the lowest computed polymorph	296	meV per atom
space group	No. 12

a b c (Å): 4.3448 4.3448 6.7996
angles (deg): 108.68 108.68 60.03
Last column: nearest neighbours and their distance in Å.
Element x y z (fractional)
Ti: 0.1182 0.1182 0.3547  1 Fe 2.24
Ti: 0.3695 0.3695 0.1084  1 Rh 2.47, 3 Fe 2.60
Ti: 0.6305 0.6305 0.8916  1 Rh 2.47, 3 Fe 2.60
Ti: 0.8818 0.8818 0.6453  1 Fe 2.24
Fe: 0.0000 0.0000 0.0000  2 Ti 2.24
Rh: 0.5000 0.5000 0.5000  8 Ti 2.47-2.67



6.
VASP calculation (PBE) on a relaxed structure of Sm3Dy3Y.

Calculated values
ΔE to the lowest computed polymorph	104	meV per atom
space group	No. 12

a b c (Å): 6.3287 6.3287 12.2623
angles (deg): 103.33 103.33 94.40
Last column: nearest neighbours and their distance in Å.
Element x y z (fractional)
Sm: 0.0020 0.3735 0.2903  4 Dy 3.30-3.49, 3 Sm 3.45-3.51, 1 Y 3.59
Sm: 0.1904 0.1904 0.8105  2 Y 3.40-3.60, 4 Sm 3.47-3.51, 3 Dy 3.69-3.75
Sm: 0.3735 0.0020 0.2903  4 Dy 3.30-3.49, 3 Sm 3.45-3.51, 1 Y 3.59
Sm: 0.6265 0.9980 0.7097  4 Dy 3.30-3.49, 3 Sm 3.45-3.51, 1 Y 3.59
Sm: 0.8096 0.8096 0.1895  2 Y 3.40-3.60, 4 Sm 3.47-3.51, 3 Dy 3.69-3.75
Sm: 0.9980 0.6265 0.7097  4 Dy 3.30-3.49, 3 Sm 3.45-3.51, 1 Y 3.59
Dy: 0.1705 0.8295 0.5000  5 Dy 3.17-3.46, 4 Sm 3.30-3.47
Dy: 0.1859 0.8141 0.0000  4 Sm 3.37-3.69, 1 Dy 3.45, 4 Y 3.53-3.62
Dy: 0.3804 0.3804 0.5765  5 Dy 3.22-3.46, 2 Sm 3.49, 1 Y 3.57
Dy: 0.6196 0.6196 0.4235  5 Dy 3.22-3.46, 2 Sm 3.49, 1 Y 3.57
Dy: 0.8141 0.1859 0.0000  4 Sm 3.37-3.69, 1 Dy 3.45, 4 Y 3.53-3.62
Dy: 0.8295 0.1705 0.5000  5 Dy 3.17-3.46, 4 Sm 3.30-3.47
Y: 0.3913 0.3913 0.1200  4 Sm 3.40-3.60, 5 Dy 3.53-3.62
Y: 0.6087 0.6087 0.8800  4 Sm 3.40-3.60, 5 Dy 3.53-3.62



7.
VASP calculation (PBE) on a relaxed structure of Tm2AlMo.

Calculated values
space group	No. 166
DFT total energy	-5.375	eV per atom

a b c (Å): 10.7805 10.7805 10.7805
angles (deg): 17.37 17.37 17.37
Last column: nearest neighbours and their distance in Å.
Element x y z (fractional)
Tm: 0.0966 0.0966 0.0966  3 Mo 2.92, 1 Al 3.08, 6 Tm 3.26
Tm: 0.9034 0.9034 0.9034  3 Mo 2.92, 1 Al 3.08, 6 Tm 3.26
Al: 0.0000 0.0000 0.0000  2 Tm 3.08, 6 Al 3.26
Mo: 0.5000 0.5000 0.5000  6 Tm 2.92, 6 Mo 3.26



8.
VASP calculation (PBE) on a relaxed structure of CsK2ZnH5.

Calculated values
space group	No. 140
DFT total energy	-2.578	eV per atom

a b c (Å): 7.9977 7.9977 7.9977
angles (deg): 122.45 122.45 85.81
Last column: nearest neighbours and their distance in Å.
Element x y z (fractional)
Cs: 0.2500 0.2500 0.0000  10 H 2.93-3.23
Cs: 0.7500 0.7500 0.0000  10 H 2.93-3.23
K: 0.1787 0.6787 0.8573  8 H 2.83-3.02
K: 0.3213 0.1787 0.5000  8 H 2.83-3.02
K: 0.6787 0.8213 0.5000  8 H 2.83-3.02
K: 0.8213 0.3213 0.1427  8 H 2.83-3.02
Zn: 0.2500 0.7500 0.5000  4 H 1.68
Zn: 0.7500 0.2500 0.5000  4 H 1.68
H: 0.0000 0.0000 0.0000  4 K 2.83, 2 Cs 2.93
H: 0.0407 0.7836 0.5000  1 Zn 1.68
H: 0.2164 0.7164 0.2571  1 Zn 1.68
H: 0.2836 0.5407 0.5000  1 Zn 1.68
H: 0.4593 0.9593 0.7429  1 Zn 1.68
H: 0.5000 0.5000 0.0000  4 K 2.83, 2 Cs 2.93
H: 0.5407 0.0407 0.2571  1 Zn 1.68
H: 0.7164 0.4593 0.5000  1 Zn 1.68
H: 0.7836 0.2836 0.7429  1 Zn 1.68
H: 0.9593 0.2164 0.5000  1 Zn 1.68



9.
VASP calculation (PBE) on a relaxed structure of LiTaAs2.

Calculated values
ΔE to the lowest computed polymorph	240	meV per atom
space group	No. 119

a b c (Å): 5.3637 5.3637 5.3637
angles (deg): 139.12 139.12 59.19
Last column: nearest neighbours and their distance in Å.
Element x y z (fractional)
Li: 0.0000 0.0000 0.0000  4 As 2.65
Ta: 0.2500 0.7500 0.5000  4 As 2.65
As: 0.5000 0.5000 0.0000  4 Li 2.65
As: 0.7500 0.2500 0.5000  4 Ta 2.65



10.
VASP calculation (PBE) on a relaxed structure of YTl3Os.

Calculated values
ΔE to the lowest computed polymorph	0	meV per atom
space group	No. 221

a b c (Å): 5.2510 5.2510 5.2510
angles (deg): 90.00 90.00 90.00
Last column: nearest neighbours and their distance in Å.
Element x y z (fractional)
Y: 0.0000 0.0000 0.0000  12 Tl 3.71
Tl: 0.0000 0.5000 0.5000  2 Os 2.63
Tl: 0.5000 0.0000 0.5000  2 Os 2.63
Tl: 0.5000 0.5000 0.0000  2 Os 2.63
Os: 0.5000 0.5000 0.5000  6 Tl 2.63



11.
VASP calculation (PBE) on a relaxed structure of CoReSi3.

Calculated values
ΔE to the lowest computed polymorph	0	meV per atom
space group	No. 221
formation energy from raw total energies	899	meV per atom

a b c (Å): 4.2283 4.2283 4.2283
angles (deg): 90.00 90.00 90.00
Last column: nearest neighbours and their distance in Å.
Element x y z (fractional)
Co: 0.0000 0.0000 0.0000  6 Si 2.11
Re: 0.5000 0.5000 0.5000  12 Si 2.99
Si: 0.0000 0.0000 0.5000  2 Co 2.11
Si: 0.0000 0.5000 0.0000  2 Co 2.11
Si: 0.5000 0.0000 0.0000  2 Co 2.11



12.
VASP calculation (PBE) on a relaxed structure of SrCaAc.

Calculated values
ΔE to the lowest computed polymorph	0	meV per atom
space group	No. 63

a b c (Å): 10.8825 10.8825 6.4753
angles (deg): 90.00 90.00 158.67
Last column: nearest neighbours and their distance in Å.
Element x y z (fractional)
Sr: 0.0561 0.9439 0.7500  4 Sr 4.03, 6 Ca 4.03-4.23, 2 Ac 4.12
Sr: 0.9439 0.0561 0.2500  4 Sr 4.03, 6 Ca 4.03-4.23, 2 Ac 4.12
Ca: 0.3824 0.6176 0.7500  4 Ac 3.94-3.96, 2 Ca 4.03, 6 Sr 4.03-4.23
Ca: 0.6176 0.3824 0.2500  4 Ac 3.94-3.96, 2 Ca 4.03, 6 Sr 4.03-4.23
Ac: 0.2758 0.7242 0.2500  4 Ca 3.94-3.96, 6 Ac 3.97-4.03, 2 Sr 4.12
Ac: 0.7242 0.2758 0.7500  4 Ca 3.94-3.96, 6 Ac 3.97-4.03, 2 Sr 4.12



13.
VASP calculation (PBE) on a relaxed structure of Tl2CdHg3.

Calculated values
ΔE to the lowest computed polymorph	0	meV per atom
space group	No. 65

a b c (Å): 8.2815 8.2815 4.1120
angles (deg): 90.00 90.00 144.00
Last column: nearest neighbours and their distance in Å.
Element x y z (fractional)
Tl: 0.1722 0.8278 0.0000  8 Hg 3.30-3.48, 2 Tl 3.54
Tl: 0.8278 0.1722 0.0000  8 Hg 3.30-3.48, 2 Tl 3.54
Cd: 0.5000 0.5000 0.0000  8 Hg 3.13-3.28
Hg: 0.0000 0.0000 0.5000  4 Cd 3.28, 4 Tl 3.40, 4 Hg 3.48
Hg: 0.3502 0.6498 0.5000  2 Cd 3.13, 6 Tl 3.30-3.48, 2 Hg 3.48
Hg: 0.6498 0.3502 0.5000  2 Cd 3.13, 6 Tl 3.30-3.48, 2 Hg 3.48



14.
VASP calculation (PBE) on a relaxed structure of VSn2Ir.

Calculated values
space group	No. 225
DFT total energy	-6.420	eV per atom

a b c (Å): 4.6785 4.6785 4.6785
angles (deg): 60.00 60.00 60.00
Last column: nearest neighbours and their distance in Å.
Element x y z (fractional)
V: 0.0000 0.0000 0.0000  8 Sn 2.86
Sn: 0.2500 0.2500 0.2500  4 Ir 2.86, 4 V 2.86
Sn: 0.7500 0.7500 0.7500  4 Ir 2.86, 4 V 2.86
Ir: 0.5000 0.5000 0.5000  8 Sn 2.86



15.
VASP calculation (PBE) on a relaxed structure of AcEu2Bi.

Calculated values
ΔE to the lowest computed polymorph	0	meV per atom
space group	No. 123

a b c (Å): 5.1699 5.1699 5.3926
angles (deg): 90.00 90.00 90.00
Last column: nearest neighbours and their distance in Å.
Element x y z (fractional)
Ac: 0.0000 0.0000 0.0000  4 Bi 3.66, 8 Eu 3.74
Eu: 0.0000 0.5000 0.5000  4 Eu 3.66, 4 Ac 3.74, 4 Bi 3.74
Eu: 0.5000 0.0000 0.5000  4 Eu 3.66, 4 Ac 3.74, 4 Bi 3.74
Bi: 0.5000 0.5000 0.0000  4 Ac 3.66, 8 Eu 3.74



16.
VASP calculation (PBE) on a relaxed structure of BaTl2Ag.

Calculated values
ΔE to the lowest computed polymorph	187	meV per atom
space group	No. 122

a b c (Å): 11.7871 11.7871 11.7871
angles (deg): 155.64 155.64 34.72
Last column: nearest neighbours and their distance in Å.
Element x y z (fractional)
Ba: 0.0000 0.0000 0.0000  4 Tl 3.46, 4 Ag 3.52
Ba: 0.7500 0.2500 0.5000  4 Tl 3.46, 4 Ag 3.52
Tl: 0.1940 0.6250 0.0690  2 Tl 3.07, 2 Ag 3.20
Tl: 0.3750 0.4440 0.5690  2 Tl 3.07, 2 Ag 3.20
Tl: 0.5560 0.1250 0.9310  2 Tl 3.07, 2 Ag 3.20
Tl: 0.8750 0.8060 0.4310  2 Tl 3.07, 2 Ag 3.20
Ag: 0.2500 0.7500 0.5000  4 Tl 3.20, 4 Ba 3.52
Ag: 0.5000 0.5000 0.0000  4 Tl 3.20, 4 Ba 3.52



17.
VASP calculation (PBE) on a relaxed structure of Zn4PtCl.

Calculated values
space group	No. 216
formation energy from raw total energies	101	meV per atom

a b c (Å): 5.1731 5.1731 5.1731
angles (deg): 60.00 60.00 60.00
Last column: nearest neighbours and their distance in Å.
Element x y z (fractional)
Zn: 0.1244 0.1244 0.1244  6 Zn 2.57-2.60
Zn: 0.1244 0.1244 0.6268  6 Zn 2.57-2.60
Zn: 0.1244 0.6268 0.1244  6 Zn 2.57-2.60
Zn: 0.6268 0.1244 0.1244  6 Zn 2.57-2.60
Pt: 0.7500 0.7500 0.7500  12 Zn 3.03, 4 Cl 3.17
Cl: 0.5000 0.5000 0.5000  12 Zn 3.03, 4 Pt 3.17



18.
VASP calculation (PBE) on a relaxed structure of NbHgS2.

Calculated values
space group	No. 33
formation energy from raw total energies	-418	meV per atom

a b c (Å): 6.2556 9.6645 6.6323
angles (deg): 90.00 90.00 90.00
Last column: nearest neighbours and their distance in Å.
Element x y z (fractional)
Nb: 0.1042 0.1478 0.0000  4 S 2.33-2.40
Nb: 0.3958 0.6478 0.5000  4 S 2.33-2.40
Nb: 0.6042 0.3522 0.0000  4 S 2.33-2.40
Nb: 0.8958 0.8522 0.5000  4 S 2.33-2.40
Hg: 0.2351 0.7668 0.1118  1 Nb 2.99, 1 S 3.01, 2 Hg 3.14
Hg: 0.2649 0.2668 0.6118  1 Nb 2.99, 1 S 3.01, 2 Hg 3.14
Hg: 0.7351 0.7332 0.1118  1 Nb 2.99, 1 S 3.01, 2 Hg 3.14
Hg: 0.7649 0.2332 0.6118  1 Nb 2.99, 1 S 3.01, 2 Hg 3.14
S: 0.0261 0.9500 0.8030  2 Nb 2.37
S: 0.0296 0.6231 0.5569  2 Nb 2.33-2.40
S: 0.4704 0.1231 0.0569  2 Nb 2.33-2.40
S: 0.4739 0.4500 0.3030  2 Nb 2.37
S: 0.5261 0.5500 0.8030  2 Nb 2.37
S: 0.5296 0.8769 0.5569  2 Nb 2.33-2.40
S: 0.9704 0.3769 0.0569  2 Nb 2.33-2.40
S: 0.9739 0.0500 0.3030  2 Nb 2.37



19.
VASP calculation (PBE) on a relaxed structure of Ta2TlCl8.

Calculated values
space group	No. 12
formation energy from raw total energies	-1133	meV per atom

a b c (Å): 7.3294 7.3294 7.6482
angles (deg): 96.43 96.43 52.65
Last column: nearest neighbours and their distance in Å.
Element x y z (fractional)
Ta: 0.2495 0.2495 0.0017  6 Cl 2.33-2.52
Ta: 0.7505 0.7505 0.9983  6 Cl 2.33-2.52
Tl: 0.5000 0.5000 0.5000  6 Cl 3.16-3.45
Cl: 0.1376 0.6314 0.1277  2 Ta 2.49-2.52
Cl: 0.1733 0.1733 0.2612  1 Ta 2.33
Cl: 0.3153 0.3153 0.7276  1 Ta 2.36
Cl: 0.3686 0.8624 0.8723  2 Ta 2.49-2.52
Cl: 0.6314 0.1376 0.1277  2 Ta 2.49-2.52
Cl: 0.6847 0.6847 0.2724  1 Ta 2.36
Cl: 0.8267 0.8267 0.7388  1 Ta 2.33
Cl: 0.8624 0.3686 0.8723  2 Ta 2.49-2.52



20.
VASP calculation (PBE) on a relaxed structure of UIn3S6.

Calculated values
space group	No. 11
formation energy from raw total energies	-730	meV per atom

a b c (Å): 10.9290 3.9235 11.4500
angles (deg): 90.00 112.33 90.00
Last column: nearest neighbours and their distance in Å.
Element x y z (fractional)
U: 0.1980 0.2500 0.0470  8 S 2.73-2.95
U: 0.8020 0.7500 0.9530  8 S 2.73-2.95
In: 0.0220 0.7500 0.3041  4 S 2.55-2.60
In: 0.3392 0.2500 0.4402  6 S 2.57-2.84
In: 0.4001 0.7500 0.8321  6 S 2.64-2.86
In: 0.5999 0.2500 0.1679  6 S 2.64-2.86
In: 0.6608 0.7500 0.5598  6 S 2.57-2.84
In: 0.9780 0.2500 0.6959  4 S 2.55-2.60
S: 0.0365 0.7500 0.9040  3 U 2.73-2.82, 2 In 2.96
S: 0.1105 0.2500 0.4548  3 In 2.55-2.57
S: 0.2298 0.2500 0.8023  3 In 2.55-2.64
S: 0.2320 0.7500 0.2486  3 In 2.60-2.84
S: 0.3967 0.7500 0.0676  3 In 2.71-2.86, 2 U 2.87
S: 0.4395 0.7500 0.6031  4 In 2.64-2.81
S: 0.5605 0.2500 0.3969  4 In 2.64-2.81
S: 0.6033 0.2500 0.9324  3 In 2.71-2.86, 2 U 2.87
S: 0.7680 0.2500 0.7514  3 In 2.60-2.84
S: 0.7702 0.7500 0.1977  3 In 2.55-2.64
S: 0.8895 0.7500 0.5452  3 In 2.55-2.57
S: 0.9635 0.2500 0.0960  3 U 2.73-2.82, 2 In 2.96